# 1
{
  "formula": "Cr3W",
  "functional": "PBE",
  "state": "optimized geometry",
  "lattice_angstrom": [[3.479, 0.000, 0.000], [-1.739, 4.658, -0.382], [0.000, 1.555, 3.112]],
  "species": ["Cr", "Cr", "Cr", "W"],
  "fractional_positions": [[0.000, 0.000, 0.000], [0.500, 0.000, 0.500], [0.750, 0.500, 0.750], [0.250, 0.500, 0.250]],
  "e_tot_ev_per_atom": -10.12,
  "crystal_system": "tetragonal",
  "spacegroup": "I4/mmm (139)"
}


# 2
{
  "formula": "LiCd2AgH",
  "functional": "PBE",
  "state": "optimized geometry",
  "lattice_angstrom": [[-0.978, 4.472, -1.694], [-3.795, -1.777, -2.501], [-1.973, 0.553, 2.601]],
  "species": ["H", "Li", "Ag", "Cd", "Cd"],
  "fractional_positions": [[0.000, 0.000, 0.000], [0.000, 0.000, 0.500], [0.500, 0.500, 0.500], [0.000, 0.500, 0.000], [0.500, 0.000, 0.000]],
  "e_tot_ev_per_atom": -2.03,
  "crystal_system": "tetragonal",
  "spacegroup": "P4/mmm (123)"
}


# 3
{
  "formula": "Th2B10W",
  "functional": "PBE",
  "state": "optimized geometry",
  "lattice_angstrom": [[-0.407, -2.246, 3.543], [-1.624, -4.644, -3.131], [11.093, -3.320, -0.831]],
  "species": ["Th", "Th", "Th", "Th", "B", "B", "B", "B", "B", "B", "B", "B", "B", "B", "B", "B", "B", "B", "B", "B", "B", "B", "B", "B", "W", "W"],
  "fractional_positions": [[0.500, 0.273, 0.868], [0.500, 0.727, 0.132], [0.500, 0.773, 0.632], [0.500, 0.227, 0.368], [0.000, 0.117, 0.542], [0.000, 0.883, 0.458], [0.000, 0.617, 0.958], [0.000, 0.383, 0.042], [0.000, 0.120, 0.697], [0.000, 0.880, 0.303], [0.299, 0.233, 0.121], [0.299, 0.767, 0.879], [0.701, 0.733, 0.379], [0.701, 0.267, 0.621], [0.701, 0.767, 0.879], [0.701, 0.233, 0.121], [0.299, 0.267, 0.621], [0.299, 0.733, 0.379], [0.000, 0.072, 0.194], [0.000, 0.928, 0.806], [0.000, 0.572, 0.306], [0.000, 0.428, 0.694], [0.000, 0.380, 0.197], [0.000, 0.620, 0.803], [0.000, 0.500, 0.500], [0.000, 0.000, 0.000]],
  "e_tot_ev_per_atom": -7.70,
  "crystal_system": "orthorhombic",
  "spacegroup": "Pbam (55)"
}


# 4
{
  "formula": "CsTl4In",
  "functional": "PBE",
  "state": "optimized geometry",
  "lattice_angstrom": [[-2.132, -2.750, 3.543], [2.118, -7.894, -4.853], [8.244, -0.567, 4.521]],
  "species": ["Cs", "Cs", "Tl", "Tl", "Tl", "Tl", "Tl", "Tl", "Tl", "Tl", "In", "In"],
  "fractional_positions": [[0.000, 0.612, 0.750], [0.000, 0.388, 0.250], [0.000, 0.000, 0.500], [0.000, 0.000, 0.000], [0.500, 0.942, 0.750], [0.500, 0.058, 0.250], [0.500, 0.719, 0.058], [0.500, 0.281, 0.942], [0.500, 0.719, 0.442], [0.500, 0.281, 0.558], [0.000, 0.205, 0.750], [0.000, 0.795, 0.250]],
  "e_tot_ev_per_atom": -2.24,
  "crystal_system": "orthorhombic",
  "spacegroup": "Pmma (51)"
}


# 5
{
  "formula": "TcSbCl2",
  "functional": "PBE",
  "state": "optimized geometry",
  "lattice_angstrom": [[7.620, 0.091, -0.181], [6.957, 3.111, -0.181], [1.589, 0.349, 4.488]],
  "species": ["Sb", "Tc", "Cl", "Cl"],
  "fractional_positions": [[0.750, 0.750, 0.750], [0.250, 0.250, 0.250], [0.890, 0.890, 0.111], [0.610, 0.610, 0.389]],
  "e_tot_ev_per_atom": -4.62,
  "formation_energy_uncorrected_ev_per_fu": -0.298,
  "crystal_system": "monoclinic",
  "spacegroup": "C2/m (12)"
}


# 6
{
  "formula": "SiNiOs4",
  "functional": "PBE",
  "state": "optimized geometry",
  "lattice_angstrom": [[1.705, -3.783, 2.969], [-3.297, -3.280, 2.098], [-0.198, -4.824, -1.649]],
  "species": ["Si", "Ni", "Os", "Os", "Os", "Os"],
  "fractional_positions": [[0.750, 0.750, 0.750], [0.000, 0.000, 0.000], [0.876, 0.375, 0.375], [0.375, 0.375, 0.876], [0.375, 0.876, 0.375], [0.375, 0.375, 0.375]],
  "e_tot_ev_per_atom": -8.33,
  "formation_energy_uncorrected_ev_per_fu": 6.133,
  "crystal_system": "cubic",
  "spacegroup": "F-43m (216)"
}